DFT (PBE) results for a relaxed SmDy2Ir2 crystal.

Cell lengths 4.818, 4.818, 6.042 Å; angles 90.00, 90.00, 59.96 degrees
Positions (direct):
Ir 0.833 0.333 0.177
Ir 0.167 0.667 0.823
Sm 0.500 0.000 0.000
Dy 0.167 0.667 0.338
Dy 0.833 0.333 0.662

Calculated values
Crystal system   trigonal
Volume   24.281 A^3/atom
Formation energy   -354 kJ/mol of formula units
E above lowest polymorph   0 meV/atom